1.
A plane-wave DFT calculation with PBE was carried out for LiTaIr2 after structural relaxation.

Lattice parameters (Å, degrees): 4.1833 4.1833 8.1367 90.00 90.00 120.00
Space group P6_3/mmc (No. 194)
Symmetry-distinct sites (fractional):
Li 0.0000 0.0000 0.2500 x2
Ta 0.3333 0.6667 0.2500 x2
Ir 0.3333 0.6667 0.5882 x4

Computed properties:
Excess energy over the best structure of this formula in the dataset: 550.3 meV/atom


2.
A plane-wave DFT calculation with PBE was carried out for LiTaIr2 after structural relaxation.

Lattice parameters (Å, degrees): 4.355 4.355 6.150 90.00 90.00 90.00
Space group I4/mmm (No. 139)
Symmetry-distinct sites (fractional):
Li 0.000 0.000 0.000 x2
Ta 0.000 0.000 0.500 x2
Ir 0.000 0.500 0.250 x4

Computed properties:
Excess energy over the best structure of this formula in the dataset: 0.0 meV/atom


3.
A plane-wave DFT calculation with PBE was carried out for LiYTaIr after structural relaxation.

Lattice parameters (Å, degrees): 6.614 6.614 6.614 90.00 90.00 90.00
Space group F-43m (No. 216)
Symmetry-distinct sites (fractional):
Li 0.000 0.000 0.000 x4
Y 0.250 0.250 0.750 x4
Ta 0.250 0.250 0.250 x4
Ir 0.000 0.000 0.500 x4

Computed properties:
Excess energy over the best structure of this formula in the dataset: 0.0 meV/atom


4.
A plane-wave DFT calculation with PBE was carried out for LiYTaIr after structural relaxation.

Lattice parameters (Å, degrees): 6.512 6.512 6.512 90.00 90.00 90.00
Space group F-43m (No. 216)
Symmetry-distinct sites (fractional):
Li 0.000 0.000 0.000 x4
Y 0.250 0.250 0.750 x4
Ta 0.000 0.000 0.500 x4
Ir 0.250 0.250 0.250 x4

Computed properties:
Excess energy over the best structure of this formula in the dataset: 95.4 meV/atom


5.
A plane-wave DFT calculation with PBE was carried out for LiTb2Ir2 after structural relaxation.

Lattice parameters (Å, degrees): 10.030 5.368 7.905 90.00 107.43 90.00
Space group C2/c (No. 15)
Symmetry-distinct sites (fractional):
Li 0.000 0.139 0.250 x4
Tb 0.146 0.344 0.649 x8
Ir 0.134 0.151 0.011 x8

Computed properties:
Raw total energy: -128.30 eV per cell


6.
A plane-wave DFT calculation with PBE was carried out for Li2TcIr after structural relaxation.

Lattice parameters (Å, degrees): 5.918 5.918 5.918 90.00 90.00 90.00
Space group F-43m (No. 216)
Symmetry-distinct sites (fractional):
Li 0.000 0.000 0.000 x4
Li 0.250 0.250 0.250 x4
Tc 0.000 0.000 0.500 x4
Ir 0.250 0.250 0.750 x4

Computed properties:
Raw total energy: -93.45 eV per cell


7.
A plane-wave DFT calculation with PBE was carried out for LiTc2Ir after structural relaxation.

Lattice parameters (Å, degrees): 6.032 6.032 6.032 90.00 90.00 90.00
Space group F-43m (No. 216)
Symmetry-distinct sites (fractional):
Li 0.000 0.000 0.000 x4
Tc 0.000 0.000 0.500 x4
Tc 0.250 0.250 0.750 x4
Ir 0.250 0.250 0.250 x4

Computed properties:
Raw total energy: -125.38 eV per cell


8.
A plane-wave DFT calculation with PBE was carried out for LiTe2Ir after structural relaxation.

Lattice parameters (Å, degrees): 6.913 6.913 6.913 90.00 90.00 90.00
Space group F-43m (No. 216)
Symmetry-distinct sites (fractional):
Li 0.000 0.000 0.000 x4
Te 0.000 0.000 0.500 x4
Te 0.250 0.250 0.750 x4
Ir 0.250 0.250 0.250 x4

Computed properties:
Raw total energy: -61.35 eV per cell


Number 1 is which compound? LiTaIr2